A relaxed structure of PaCoPO, computed with PBE with a Hubbard U.

Cell lengths 4.131, 3.984, 6.884 Å; angles 90.00, 90.00, 90.00 degrees
Element x y z (fractional)
1 Pa 0.000 0.249 0.000
2 Pa 0.000 0.751 0.500
3 Co 0.500 0.251 0.334
4 Co 0.500 0.749 0.834
5 P 0.500 0.249 0.668
6 P 0.500 0.751 0.168
7 O 0.000 0.251 0.334
8 O 0.000 0.749 0.834

## Properties
space-group type: Pmc2_1 (26)


A relaxed structure of CoPPbO, computed with PBE with a Hubbard U.

Cell lengths 3.241, 6.792, 6.720 Å; angles 90.00, 90.00, 90.00 degrees
Element x y z (fractional)
1 Co 0.000 0.219 0.000
2 Co 0.000 0.781 0.500
3 P 0.000 0.060 0.302
4 P 0.000 0.940 0.802
5 Pb 0.500 0.300 0.580
6 Pb 0.500 0.700 0.080
7 O 0.500 0.373 0.966
8 O 0.500 0.627 0.466

## Properties
space-group type: Pmc2_1 (26)


A relaxed structure of CoPPbO, computed with PBE with a Hubbard U.

Cell lengths 4.353, 4.353, 8.863 Å; angles 90.00, 90.00, 90.00 degrees
Element x y z (fractional)
1 Co 0.000 0.000 0.000
2 Co 0.500 0.500 0.021
3 P 0.000 0.000 0.704
4 P 0.500 0.500 0.318
5 Pb 0.000 0.500 0.511
6 Pb 0.500 0.000 0.511
7 O 0.000 0.500 0.010
8 O 0.500 0.000 0.010

## Properties
space-group type: P4mm (99)


A relaxed structure of CoPPbO, computed with PBE with a Hubbard U.

Cell lengths 3.890, 3.890, 9.422 Å; angles 90.00, 90.00, 90.00 degrees
Element x y z (fractional)
1 Co 0.250 0.750 0.000
2 Co 0.750 0.250 0.000
3 P 0.250 0.250 0.104
4 P 0.750 0.750 0.896
5 Pb 0.250 0.250 0.632
6 Pb 0.750 0.750 0.368
7 O 0.250 0.750 0.500
8 O 0.750 0.250 0.500

## Properties
space-group type: P4/nmm (129)


A relaxed structure of CoPPbO, computed with PBE with a Hubbard U.

Cell lengths 3.855, 3.855, 9.706 Å; angles 90.00, 90.00, 90.00 degrees
Element x y z (fractional)
1 Co 0.250 0.750 0.000
2 Co 0.750 0.250 0.000
3 P 0.250 0.250 0.104
4 P 0.750 0.750 0.896
5 Pb 0.250 0.250 0.630
6 Pb 0.750 0.750 0.370
7 O 0.250 0.750 0.500
8 O 0.750 0.250 0.500

## Properties
space-group type: P4/nmm (129)


A relaxed structure of CoPPbO, computed with PBE with a Hubbard U.

Cell lengths 4.191, 6.662, 5.600 Å; angles 90.00, 90.00, 90.00 degrees
Element x y z (fractional)
1 Co 0.000 0.112 0.000
2 Co 0.000 0.888 0.500
3 P 0.500 0.260 0.909
4 P 0.500 0.740 0.409
5 Pb 0.500 0.314 0.418
6 Pb 0.500 0.686 0.918
7 O 0.000 0.151 0.353
8 O 0.000 0.849 0.853

## Properties
space-group type: Pmc2_1 (26)


Calculated values (kJ/mol of formula units) of E above lowest polymorph for the records, taken in order: 114 64 191 2 0 37.